--- P ---
VASP calculation (PBE-GGA) on a relaxed structure of NaP2O2.

abc: 3.575 3.575 4.840
angles: 90.00 90.00 90.00
Space group P4/mmm (No. 123)
Unique sites:
Na: 0.000 0.000 0.000 [1 per cell]
P: 0.500 0.500 0.000 [1 per cell]
P: 0.500 0.500 0.500 [1 per cell]
O: 0.000 0.500 0.500 [2 per cell]

Results
total magnetization: 0.125 μB per formula unit

--- Q ---
VASP calculation (PBE-GGA) on a relaxed structure of NaP2O2.

abc: 3.791 3.791 5.447
angles: 90.00 90.00 90.00
Space group P4/mmm (No. 123)
Unique sites:
Na: 0.000 0.000 0.000 [1 per cell]
P: 0.000 0.500 0.500 [2 per cell]
O: 0.500 0.500 0.000 [1 per cell]
O: 0.500 0.500 0.500 [1 per cell]

Results
total magnetization: 0.000 μB per formula unit

Energies in kJ/mol of atoms, measured from the most stable structure: P 0.0; Q 68.2.

--- P ---
VASP calculation (PBE-GGA) on a relaxed structure of Na2PO3.

abc: 3.466 10.868 11.012
angles: 90.00 98.38 90.00
Space group P2_1/c (No. 14)
Unique sites:
Na: 0.006 0.249 0.025 [4 per cell]
Na: 0.115 0.027 0.758 [4 per cell]
P: 0.434 0.736 0.239 [4 per cell]
O: 0.345 0.120 0.206 [4 per cell]
O: 0.423 0.215 0.879 [4 per cell]
O: 0.439 0.661 0.838 [4 per cell]

Results
total magnetization: 0.225 μB per formula unit

--- Q ---
VASP calculation (PBE-GGA) on a relaxed structure of Na2PO3.

abc: 6.620 10.919 11.388
angles: 90.00 90.00 90.00
Space group Fmmm (No. 69)
Unique sites:
Na: 0.234 0.000 0.000 [8 per cell]
Na: 0.250 0.250 0.250 [8 per cell]
P: 0.000 0.000 0.236 [8 per cell]
O: 0.000 0.000 0.369 [8 per cell]
O: 0.000 0.119 0.162 [16 per cell]

Results
total magnetization: 0.000 μB per formula unit

Energies in kJ/mol of atoms, measured from the most stable structure: P 0.0; Q 8.8.

--- P ---
VASP calculation (PBE-GGA) on a relaxed structure of NaP2PbO.

abc: 5.349 5.349 4.405
angles: 90.00 90.00 90.00
Space group P4/mmm (No. 123)
Unique sites:
Na: 0.000 0.000 0.000 [1 per cell]
P: 0.000 0.500 0.000 [2 per cell]
Pb: 0.500 0.500 0.500 [1 per cell]
O: 0.000 0.000 0.500 [1 per cell]

Results
total magnetization: 2.703 μB per formula unit

--- Q ---
VASP calculation (PBE-GGA) on a relaxed structure of NaP2PbO.

abc: 5.433 5.433 4.356
angles: 90.00 90.00 90.00
Space group P4/mmm (No. 123)
Unique sites:
Na: 0.000 0.000 0.000 [1 per cell]
P: 0.000 0.500 0.500 [2 per cell]
Pb: 0.500 0.500 0.500 [1 per cell]
O: 0.500 0.500 0.000 [1 per cell]

Results
total magnetization: 2.933 μB per formula unit

Energies in kJ/mol of atoms, measured from the most stable structure: P 34.8; Q 0.0.

--- P ---
VASP calculation (PBE-GGA) on a relaxed structure of Na3P6Pb2O18.

abc: 6.675 7.580 9.581
angles: 73.46 87.95 85.22
Space group P-1 (No. 2)
Unique sites:
Na: 0.000 0.000 0.000 [1 per cell]
Na: 0.366 0.308 0.362 [2 per cell]
P: 0.063 0.254 0.638 [2 per cell]
P: 0.368 0.777 0.307 [2 per cell]
P: 0.411 0.015 0.801 [2 per cell]
Pb: 0.310 0.389 0.925 [2 per cell]
O: 0.001 0.716 0.888 [2 per cell]
O: 0.047 0.257 0.245 [2 per cell]
O: 0.108 0.373 0.738 [2 per cell]
O: 0.141 0.865 0.266 [2 per cell]
O: 0.235 0.065 0.681 [2 per cell]
O: 0.318 0.067 0.935 [2 per cell]
O: 0.402 0.731 0.468 [2 per cell]
O: 0.409 0.620 0.234 [2 per cell]
O: 0.492 0.816 0.823 [2 per cell]

Results
total magnetization: 3.000 μB per formula unit

--- Q ---
VASP calculation (PBE-GGA) on a relaxed structure of Na3P6Pb2O18.

abc: 7.882 8.079 8.164
angles: 103.66 97.62 116.57
Space group P-1 (No. 2)
Unique sites:
Na: 0.000 0.000 0.000 [1 per cell]
Na: 0.137 0.451 0.350 [2 per cell]
P: 0.133 0.325 0.734 [2 per cell]
P: 0.268 0.716 0.981 [2 per cell]
P: 0.497 0.661 0.743 [2 per cell]
Pb: 0.339 0.980 0.622 [2 per cell]
O: 0.002 0.333 0.587 [2 per cell]
O: 0.088 0.134 0.758 [2 per cell]
O: 0.151 0.780 0.877 [2 per cell]
O: 0.158 0.478 0.919 [2 per cell]
O: 0.294 0.290 0.230 [2 per cell]
O: 0.323 0.791 0.178 [2 per cell]
O: 0.360 0.429 0.717 [2 per cell]
O: 0.401 0.705 0.598 [2 per cell]
O: 0.474 0.768 0.927 [2 per cell]

Results
total magnetization: 1.000 μB per formula unit

Energies in kJ/mol of atoms, measured from the most stable structure: P 48.0; Q 0.0.

--- P ---
VASP calculation (PBE-GGA) on a relaxed structure of RbNaPO2.

abc: 5.074 5.074 6.335
angles: 90.00 90.00 90.00
Space group P4/mmm (No. 123)
Unique sites:
Rb: 0.000 0.000 0.000 [1 per cell]
Na: 0.500 0.500 0.500 [1 per cell]
P: 0.000 0.000 0.500 [1 per cell]
O: 0.000 0.500 0.000 [2 per cell]

Results
total magnetization: 5.000 μB per formula unit

--- Q ---
VASP calculation (PBE-GGA) on a relaxed structure of RbNaPO2.

abc: 4.762 4.762 5.453
angles: 90.00 90.00 90.00
Space group P4/mmm (No. 123)
Unique sites:
Rb: 0.000 0.000 0.000 [1 per cell]
Na: 0.500 0.500 0.500 [1 per cell]
P: 0.500 0.500 0.000 [1 per cell]
O: 0.000 0.500 0.500 [2 per cell]

Results
total magnetization: 5.011 μB per formula unit

Energies in kJ/mol of atoms, measured from the most stable structure: P 34.9; Q 0.0.

--- P ---
VASP calculation (PBE-GGA) on a relaxed structure of RbNaP2O.

abc: 6.370 6.370 4.918
angles: 90.00 90.00 90.00
Space group P4/mmm (No. 123)
Unique sites:
Rb: 0.000 0.000 0.000 [1 per cell]
Na: 0.500 0.500 0.500 [1 per cell]
P: 0.000 0.500 0.000 [2 per cell]
O: 0.000 0.000 0.500 [1 per cell]

Results
total magnetization: 6.000 μB per formula unit

--- Q ---
VASP calculation (PBE-GGA) on a relaxed structure of RbNaP2O.

abc: 5.191 5.191 4.606
angles: 90.00 90.00 90.00
Space group P4/mmm (No. 123)
Unique sites:
Rb: 0.000 0.000 0.000 [1 per cell]
Na: 0.500 0.500 0.500 [1 per cell]
P: 0.000 0.500 0.500 [2 per cell]
O: 0.500 0.500 0.000 [1 per cell]

Results
total magnetization: 0.957 μB per formula unit

Energies in kJ/mol of atoms, measured from the most stable structure: P 34.8; Q 0.0.

--- P ---
VASP calculation (PBE-GGA) on a relaxed structure of NaReP2O.

abc: 4.808 4.808 3.785
angles: 90.00 90.00 90.00
Space group P4/mmm (No. 123)
Unique sites:
Na: 0.000 0.000 0.000 [1 per cell]
Re: 0.500 0.500 0.500 [1 per cell]
P: 0.000 0.500 0.500 [2 per cell]
O: 0.500 0.500 0.000 [1 per cell]

Results
total magnetization: 0.000 μB per formula unit

--- Q ---
VASP calculation (PBE-GGA) on a relaxed structure of NaReP2O.

abc: 4.689 4.689 3.654
angles: 90.00 90.00 90.00
Space group P4/mmm (No. 123)
Unique sites:
Na: 0.000 0.000 0.000 [1 per cell]
Re: 0.500 0.500 0.500 [1 per cell]
P: 0.000 0.500 0.000 [2 per cell]
O: 0.000 0.000 0.500 [1 per cell]

Results
total magnetization: 0.096 μB per formula unit

Energies in kJ/mol of atoms, measured from the most stable structure: P 0.0; Q 195.0.

--- P ---
VASP calculation (PBE-GGA) on a relaxed structure of NaP2RhO.

abc: 4.920 4.920 3.735
angles: 90.00 90.00 90.00
Space group P4/mmm (No. 123)
Unique sites:
Na: 0.000 0.000 0.000 [1 per cell]
P: 0.000 0.500 0.500 [2 per cell]
Rh: 0.500 0.500 0.500 [1 per cell]
O: 0.500 0.500 0.000 [1 per cell]

Results
total magnetization: 0.000 μB per formula unit

--- Q ---
VASP calculation (PBE-GGA) on a relaxed structure of NaP2RhO.

abc: 4.756 4.756 3.761
angles: 90.00 90.00 90.00
Space group P4/mmm (No. 123)
Unique sites:
Na: 0.000 0.000 0.000 [1 per cell]
P: 0.000 0.500 0.000 [2 per cell]
Rh: 0.500 0.500 0.500 [1 per cell]
O: 0.000 0.000 0.500 [1 per cell]

Results
total magnetization: 0.294 μB per formula unit

Energies in kJ/mol of atoms, measured from the most stable structure: P 0.0; Q 116.0.

--- P ---
VASP calculation (PBE-GGA) on a relaxed structure of NaP2SO.

abc: 3.940 3.940 5.673
angles: 90.00 90.00 90.00
Space group P4/mmm (No. 123)
Unique sites:
Na: 0.000 0.000 0.000 [1 per cell]
P: 0.000 0.500 0.500 [2 per cell]
S: 0.500 0.500 0.000 [1 per cell]
O: 0.500 0.500 0.500 [1 per cell]

Results
total magnetization: 0.000 μB per formula unit

--- Q ---
VASP calculation (PBE-GGA) on a relaxed structure of NaP2SO.

abc: 4.921 4.921 3.846
angles: 90.00 90.00 90.00
Space group P4/mmm (No. 123)
Unique sites:
Na: 0.000 0.000 0.000 [1 per cell]
P: 0.000 0.500 0.000 [2 per cell]
S: 0.500 0.500 0.500 [1 per cell]
O: 0.000 0.000 0.500 [1 per cell]

Results
total magnetization: 0.001 μB per formula unit

Energies in kJ/mol of atoms, measured from the most stable structure: P 0.0; Q 99.7.

--- P ---
VASP calculation (PBE-GGA) on a relaxed structure of NaP2SO.

abc: 4.935 4.935 3.437
angles: 90.00 90.00 90.00
Space group P4/mmm (No. 123)
Unique sites:
Na: 0.000 0.000 0.000 [1 per cell]
P: 0.000 0.500 0.500 [2 per cell]
S: 0.500 0.500 0.500 [1 per cell]
O: 0.500 0.500 0.000 [1 per cell]

Results
total magnetization: 0.000 μB per formula unit

--- Q ---
VASP calculation (PBE-GGA) on a relaxed structure of NaP2SO.

abc: 4.904 4.904 4.806
angles: 90.00 90.00 90.00
Space group P4/mmm (No. 123)
Unique sites:
Na: 0.000 0.000 0.000 [1 per cell]
P: 0.000 0.500 0.000 [2 per cell]
S: 0.000 0.000 0.500 [1 per cell]
O: 0.500 0.500 0.500 [1 per cell]

Results
total magnetization: 2.161 μB per formula unit

Energies in kJ/mol of atoms, measured from the most stable structure: P 0.0; Q 140.7.

--- P ---
VASP calculation (PBE-GGA) on a relaxed structure of NaP2SeO.

abc: 4.964 4.964 3.868
angles: 90.00 90.00 90.00
Space group P4/mmm (No. 123)
Unique sites:
Na: 0.000 0.000 0.000 [1 per cell]
P: 0.000 0.500 0.000 [2 per cell]
Se: 0.500 0.500 0.500 [1 per cell]
O: 0.000 0.000 0.500 [1 per cell]

Results
total magnetization: 0.000 μB per formula unit

--- Q ---
VASP calculation (PBE-GGA) on a relaxed structure of NaP2SeO.

abc: 5.074 5.074 3.753
angles: 90.00 90.00 90.00
Space group P4/mmm (No. 123)
Unique sites:
Na: 0.000 0.000 0.000 [1 per cell]
P: 0.000 0.500 0.500 [2 per cell]
Se: 0.500 0.500 0.500 [1 per cell]
O: 0.500 0.500 0.000 [1 per cell]

Results
total magnetization: 0.000 μB per formula unit

Energies in kJ/mol of atoms, measured from the most stable structure: P 75.9; Q 0.0.

--- P ---
VASP calculation (PBE-GGA) on a relaxed structure of NaSrP2O.

abc: 6.031 6.031 4.527
angles: 90.00 90.00 90.00
Space group P4/mmm (No. 123)
Unique sites:
Na: 0.000 0.000 0.000 [1 per cell]
Sr: 0.500 0.500 0.500 [1 per cell]
P: 0.000 0.500 0.500 [2 per cell]
O: 0.500 0.500 0.000 [1 per cell]

Results
total magnetization: 5.022 μB per formula unit

--- Q ---
VASP calculation (PBE-GGA) on a relaxed structure of NaSrP2O.

abc: 4.984 4.984 4.409
angles: 90.00 90.00 90.00
Space group P4/mmm (No. 123)
Unique sites:
Na: 0.000 0.000 0.000 [1 per cell]
Sr: 0.500 0.500 0.500 [1 per cell]
P: 0.000 0.500 0.000 [2 per cell]
O: 0.000 0.000 0.500 [1 per cell]

Results
total magnetization: 2.141 μB per formula unit

Energies in kJ/mol of atoms, measured from the most stable structure: P 10.9; Q 0.0.